Entry 1:
The following is a DFT calculation (PBE-GGA) of an optimized crystal structure of Ba2LiHg10.

Summary:
Calculated formation energy, eV/atom: -0.194
Volume, Å³ per atom: 33.04
Density, g cm⁻³: 8.84

Lattice parameters (Å, degrees): 6.6026 11.4565 11.3561 90.00 90.00 90.00
Sites, in units of the cell vectors:
Ba 0.5000 0.3597 0.8377
Ba 0.5000 0.6403 0.1623
Ba 0.5000 0.8597 0.6623
Ba 0.5000 0.1403 0.3377
Li 0.0000 0.5000 0.5000
Li 0.0000 0.0000 0.0000
Hg 0.0000 0.1169 0.5559
Hg 0.0000 0.8831 0.4441
Hg 0.0000 0.6169 0.9441
Hg 0.0000 0.3831 0.0559
Hg 0.0000 0.1962 0.8268
Hg 0.0000 0.8038 0.1732
Hg 0.2806 0.1671 0.0539
Hg 0.2806 0.8329 0.9461
Hg 0.7194 0.6671 0.4461
Hg 0.7194 0.3329 0.5539
Hg 0.7194 0.8329 0.9461
Hg 0.7194 0.1671 0.0539
Hg 0.2806 0.3329 0.5539
Hg 0.2806 0.6671 0.4461
Hg 0.0000 0.0532 0.2414
Hg 0.0000 0.9468 0.7586
Hg 0.0000 0.5532 0.2586
Hg 0.0000 0.4468 0.7414
Hg 0.0000 0.3038 0.3268
Hg 0.0000 0.6962 0.6732

=====

Entry 2:
The following is a DFT calculation (PBE-GGA) of an optimized crystal structure of YN.

Summary:
Uncorrected formation energy, eV per atom: -1.3384
Volume, Å³ per atom: 15.26
Density, g cm⁻³: 5.60

Lattice parameters (Å, degrees): 3.4217 3.4217 6.0192 90.00 90.00 120.00
Sites, in units of the cell vectors:
N 0.3333 0.6667 0.2500
N 0.6667 0.3333 0.7500
Y 0.0000 0.0000 0.0000
Y 0.0000 0.0000 0.5000

=====

Entry 3:
The following is a DFT calculation (PBE-GGA) of an optimized crystal structure of CdRuBr2.

Summary:
Uncorrected formation energy, eV per atom: 0.3748
Volume, Å³ per atom: 33.39
Density, g cm⁻³: 4.64

Lattice parameters (Å, degrees): 7.1798 7.1798 7.2548 60.34 60.34 90.00
Sites, in units of the cell vectors:
Ru 0.5000 0.5000 0.0000
Ru 0.2500 0.7500 0.5000
Br 0.5126 0.1250 0.2500
Br 0.2374 0.6250 0.2500
Br 0.3750 0.4874 0.7500
Br 0.8750 0.7626 0.7500
Cd 0.0000 0.0000 0.0000
Cd 0.7500 0.2500 0.5000

=====

Entry 4:
The following is a DFT calculation (PBE-GGA) of an optimized crystal structure of K3Sb2As2.

Summary:
Uncorrected formation energy, eV per atom: -0.3304
Volume, Å³ per atom: 36.87
Density, g cm⁻³: 3.29

Lattice parameters (Å, degrees): 4.1159 6.6628 10.1719 80.18 78.35 72.01
Sites, in units of the cell vectors:
K 0.0000 0.0000 0.0000
K 0.6090 0.4708 0.3118
K 0.3910 0.5292 0.6882
Sb 0.1698 0.0864 0.5741
Sb 0.8302 0.9136 0.4259
As 0.7314 0.5889 0.9480
As 0.2686 0.4111 0.0520

=====

What are the calculated total energy values for these records? In order: -22.59, -34.93, -24.08, -23.15 eV for the cell shown.